1.
CuAgBW | PBE | relaxed

a b c (Å): 5.960 5.960 5.960
angles (deg): 90.00 90.00 90.00
Positions (direct):
1 Cu 0.000 0.000 0.000
2 Cu 0.000 0.500 0.500
3 Cu 0.500 0.000 0.500
4 Cu 0.500 0.500 0.000
5 Ag 0.250 0.250 0.250
6 Ag 0.250 0.750 0.750
7 Ag 0.750 0.250 0.750
8 Ag 0.750 0.750 0.250
9 B 0.250 0.250 0.750
10 B 0.250 0.750 0.250
11 B 0.750 0.250 0.250
12 B 0.750 0.750 0.750
13 W 0.000 0.000 0.500
14 W 0.000 0.500 0.000
15 W 0.500 0.000 0.000
16 W 0.500 0.500 0.500

Output
Energy above the lowest structure with this stoichiometry (eV/f.u.): 0.000
Magnetization (μB/atom): 0.00



2.
ZnGa2Te | PBE | relaxed

a b c (Å): 7.049 7.049 7.049
angles (deg): 90.00 90.00 90.00
Positions (direct):
1 Zn 0.000 0.000 0.000
2 Zn 0.000 0.500 0.500
3 Zn 0.500 0.000 0.500
4 Zn 0.500 0.500 0.000
5 Ga 0.000 0.000 0.500
6 Ga 0.000 0.500 0.000
7 Ga 0.250 0.250 0.250
8 Ga 0.250 0.750 0.750
9 Ga 0.500 0.000 0.000
10 Ga 0.500 0.500 0.500
11 Ga 0.750 0.250 0.750
12 Ga 0.750 0.750 0.250
13 Te 0.250 0.250 0.750
14 Te 0.250 0.750 0.250
15 Te 0.750 0.250 0.250
16 Te 0.750 0.750 0.750

Output
Raw total energy (eV/atom): -2.47



3.
Gd3Tl5Pb2 | PBE | relaxed

a b c (Å): 12.898 12.898 4.690
angles (deg): 90.00 90.00 159.21
Positions (direct):
1 Gd 0.000 0.000 0.000
2 Gd 0.189 0.811 0.000
3 Gd 0.811 0.189 0.000
4 Tl 0.097 0.903 0.500
5 Tl 0.404 0.596 0.000
6 Tl 0.500 0.500 0.500
7 Tl 0.596 0.404 0.000
8 Tl 0.903 0.097 0.500
9 Pb 0.296 0.704 0.500
10 Pb 0.704 0.296 0.500

Output
Energy above the lowest structure with this stoichiometry (eV/f.u.): 0.000
Magnetization (μB/atom): 0.00



4.
DyAl2Ag2 | PBE | relaxed

a b c (Å): 4.159 4.159 11.563
angles (deg): 90.00 90.00 90.00
Positions (direct):
1 Dy 0.000 0.000 0.000
2 Dy 0.500 0.500 0.500
3 Al 0.000 0.500 0.250
4 Al 0.000 0.500 0.750
5 Al 0.500 0.000 0.250
6 Al 0.500 0.000 0.750
7 Ag 0.000 0.000 0.385
8 Ag 0.000 0.000 0.615
9 Ag 0.500 0.500 0.115
10 Ag 0.500 0.500 0.885

Output
Magnetization (μB/atom): 0.00
Raw total energy (eV/atom): -3.83



5.
LiLaNiSn | PBE | relaxed

a b c (Å): 7.084 7.084 7.084
angles (deg): 90.00 90.00 90.00
Positions (direct):
1 Li 0.000 0.000 0.000
2 Li 0.000 0.500 0.500
3 Li 0.500 0.000 0.500
4 Li 0.500 0.500 0.000
5 La 0.000 0.000 0.500
6 La 0.000 0.500 0.000
7 La 0.500 0.000 0.000
8 La 0.500 0.500 0.500
9 Ni 0.250 0.250 0.250
10 Ni 0.250 0.750 0.750
11 Ni 0.750 0.250 0.750
12 Ni 0.750 0.750 0.250
13 Sn 0.250 0.250 0.750
14 Sn 0.250 0.750 0.250
15 Sn 0.750 0.250 0.250
16 Sn 0.750 0.750 0.750

Output
Energy above the lowest structure with this stoichiometry (eV/f.u.): 1.305
Magnetization (μB/atom): 0.04



6.
Tb3ErHg2 | PBE | relaxed

a b c (Å): 6.699 6.699 4.708
angles (deg): 90.00 90.00 120.00
Positions (direct):
1 Tb 0.000 0.500 0.000
2 Tb 0.500 0.000 0.000
3 Tb 0.500 0.500 0.000
4 Er 0.000 0.000 0.500
5 Hg 0.333 0.667 0.500
6 Hg 0.667 0.333 0.500

Output
Calculated formation energy (eV per atom): -0.0531
Magnetization (μB/atom): 0.00



7.
SnBW | PBE | relaxed

a b c (Å): 5.690 5.690 5.690
angles (deg): 90.00 90.00 90.00
Positions (direct):
1 Sn 0.000 0.000 0.000
2 Sn 0.000 0.500 0.500
3 Sn 0.500 0.000 0.500
4 Sn 0.500 0.500 0.000
5 B 0.250 0.250 0.250
6 B 0.250 0.750 0.750
7 B 0.750 0.250 0.750
8 B 0.750 0.750 0.250
9 W 0.000 0.000 0.500
10 W 0.000 0.500 0.000
11 W 0.500 0.000 0.000
12 W 0.500 0.500 0.500

Output
Energy above the lowest structure with this stoichiometry (eV/f.u.): 0.000
Magnetization (μB/atom): 0.01



8.
DyB3O6 | PBE | relaxed

a b c (Å): 6.205 6.205 6.113
angles (deg): 116.51 116.51 79.62
Positions (direct):
1 Dy 0.200 0.800 0.750
2 Dy 0.800 0.200 0.250
3 B 0.215 0.339 0.910
4 B 0.218 0.782 0.250
5 B 0.339 0.215 0.410
6 B 0.661 0.785 0.590
7 B 0.782 0.218 0.750
8 B 0.785 0.661 0.090
9 O 0.001 0.789 0.296
10 O 0.207 0.398 0.497
11 O 0.211 0.588 0.001
12 O 0.211 0.999 0.204
13 O 0.398 0.207 0.997
14 O 0.412 0.789 0.499
15 O 0.588 0.211 0.501
16 O 0.602 0.793 0.003
17 O 0.789 0.001 0.796
18 O 0.789 0.412 0.999
19 O 0.793 0.602 0.503
20 O 0.999 0.211 0.704

Output
Magnetization (μB/atom): 0.00
Raw total energy (eV/atom): -8.18



9.
BaAg2SnSb2 | PBE | relaxed

a b c (Å): 4.887 4.887 8.221
angles (deg): 90.00 90.00 120.00
Positions (direct):
1 Ba 0.000 0.000 0.000
2 Ag 0.333 0.667 0.702
3 Ag 0.667 0.333 0.323
4 Sn 0.000 0.000 0.495
5 Sb 0.333 0.667 0.256
6 Sb 0.667 0.333 0.723

Output
Raw total energy (eV/atom): -3.66



10.
Na2Hf2Ga2NiPd | PBE | relaxed

a b c (Å): 4.522 4.522 6.442
angles (deg): 90.00 90.00 90.00
Positions (direct):
1 Na 0.000 0.000 0.000
2 Na 0.500 0.500 0.500
3 Hf 0.000 0.500 0.239
4 Hf 0.500 0.000 0.761
5 Ga 0.000 0.500 0.757
6 Ga 0.500 0.000 0.243
7 Ni 0.500 0.500 0.000
8 Pd 0.000 0.000 0.500

Output
Magnetization (μB/atom): 0.00
Raw total energy (eV/atom): -5.03



11.
CoS2 | PBE | relaxed

a b c (Å): 5.083 5.083 5.083
angles (deg): 60.00 60.00 60.00
Positions (direct):
1 Co 0.125 0.125 0.125
2 Co 0.875 0.875 0.875
3 S 0.000 0.500 0.500
4 S 0.500 0.000 0.500
5 S 0.500 0.500 0.000
6 S 0.500 0.500 0.500

Output
Magnetization (μB/atom): 0.69
Raw total energy (eV/atom): -3.78



12.
LiCoHgMo | PBE | relaxed

a b c (Å): 6.190 6.190 6.190
angles (deg): 90.00 90.00 90.00
Positions (direct):
1 Li 0.000 0.000 0.000
2 Li 0.000 0.500 0.500
3 Li 0.500 0.000 0.500
4 Li 0.500 0.500 0.000
5 Co 0.250 0.250 0.750
6 Co 0.250 0.750 0.250
7 Co 0.750 0.250 0.250
8 Co 0.750 0.750 0.750
9 Hg 0.000 0.000 0.500
10 Hg 0.000 0.500 0.000
11 Hg 0.500 0.000 0.000
12 Hg 0.500 0.500 0.500
13 Mo 0.250 0.250 0.250
14 Mo 0.250 0.750 0.750
15 Mo 0.750 0.250 0.750
16 Mo 0.750 0.750 0.250

Output
Energy above the lowest structure with this stoichiometry (eV/f.u.): 1.903
Magnetization (μB/atom): 0.01